This record from Alexandria describes a geometry-optimized AgRuPt2 structure. The functional is PBE.

Cell and atoms, written as extended XYZ:
```
4
Lattice="-1.981 1.981 3.963 1.981 -1.981 3.963 1.981 1.981 -3.963" Properties=species:S:1:pos:R:3 pbc="T T T"
Ag 0.000 0.000 0.000
Ru 0.000 0.000 3.963
Pt 1.981 0.000 1.981
Pt 0.000 1.981 1.981
```

Calculated values
Calculated density (kg/m³): 15997
E_form (eV/atom): 0.206
Uncorrected energy (eV/atom): -5.8458
Polymorph energy (0 for the lowest one) (eV per atom): 0.179

---

This record from Alexandria describes a geometry-optimized MgBeHg structure. The functional is PBE.

Cell and atoms, written as extended XYZ:
```
6
Lattice="4.385 0.000 0.000 0.000 4.385 0.000 0.000 0.000 5.600" Properties=species:S:1:pos:R:3 pbc="T T T"
Mg 0.000 2.192 0.000
Mg 2.192 0.000 2.800
Be 0.000 0.000 1.400
Be 0.000 0.000 4.200
Hg 0.000 2.192 2.800
Hg 2.192 0.000 0.000
```

Calculated values
Calculated density (kg/m³): 7216
E_form (eV/atom): 0.111
Uncorrected energy (eV/atom): -1.7633
Polymorph energy (0 for the lowest one) (eV per atom): 0.000

---

This record from Alexandria describes a geometry-optimized KTc2Se2 structure. The functional is PBE.

Cell and atoms, written as extended XYZ:
```
5
Lattice="-2.024 2.024 6.797 2.024 -2.024 6.797 2.024 2.024 -6.797" Properties=species:S:1:pos:R:3 pbc="T T T"
K 0.000 0.000 0.000
Tc 2.024 0.000 3.398
Tc 0.000 2.024 3.398
Se 0.000 0.000 4.840
Se 0.000 0.000 8.754
```

Calculated values
Calculated density (kg/m³): 5858
Formation energy (no corrections) (eV/atom): -0.367
Uncorrected energy (eV/atom): -6.1267

---

This record from Alexandria describes a geometry-optimized Ac2Zn4Ge3Pt structure. The functional is PBE.

Cell and atoms, written as extended XYZ:
```
10
Lattice="4.466 0.000 0.000 0.000 4.466 0.000 0.000 0.000 10.516" Properties=species:S:1:pos:R:3 pbc="T T T"
Ac 0.000 2.233 2.545
Ac 2.233 0.000 7.971
Zn 0.000 0.000 5.258
Zn 0.000 2.233 9.209
Zn 2.233 0.000 1.307
Zn 2.233 2.233 5.258
Ge 0.000 0.000 0.000
Ge 0.000 2.233 6.677
Ge 2.233 0.000 3.839
Pt 2.233 2.233 0.000
```

Calculated values
Calculated density (kg/m³): 8937
E_form (eV/atom): -0.537
Uncorrected energy (eV/atom): -3.8573